# 1
A plane-wave DFT calculation with PBE was carried out for a relaxed Tm3TiTl3Se8 crystal.

```
Tm3TiTl3Se8
1.0
8.028 0.000 0.000
-4.014 6.951 -0.029
0.000 -4.603 7.889
Se Tl Tm Ti
8 3 3 1
direct
0.734 0.469 0.703
0.219 0.973 0.693
0.246 0.027 0.307
0.781 0.027 0.307
0.754 0.973 0.693
0.219 0.439 0.693
0.266 0.531 0.297
0.781 0.561 0.307
0.500 0.500 0.000
0.000 0.000 0.000
0.000 0.500 0.000
0.500 0.000 0.500
0.000 0.500 0.500
0.500 0.500 0.500
0.000 0.000 0.500
```

## Properties
As for the symmetry: R-3m, No. 166. The value obtained for the formation energy from raw total energies is -125.0 kJ per mole of atoms.

=====

# 2
A plane-wave DFT calculation with PBE was carried out for a relaxed Sr2CaW crystal.

```
Sr2CaW
1.0
-1.787 6.627 10.013
-4.819 7.553 8.191
-4.760 4.509 10.216
Sr Ca W
2 1 1
direct
0.516 0.516 0.516
0.984 0.984 0.984
0.750 0.750 0.750
0.250 0.250 0.250
```

## Properties
The energy relative to the elements is 99.71 kJ per mole of atoms. The density of states at the Fermi level is 3.43 states/eV/f.u. The calculation puts the energy above the lowest structure with this stoichiometry at 0.126 eV/atom. As for the symmetry: R-3m, No. 166.

=====

# 3
A plane-wave DFT calculation with PBE was carried out for a relaxed YTe3S crystal.

```
YTe3S
1.0
5.851 0.000 0.000
0.000 5.851 0.000
0.000 0.000 5.851
S Te Y
1 3 1
direct
0.500 0.500 0.500
0.000 0.000 0.500
0.500 0.000 0.000
0.000 0.500 0.000
0.000 0.000 0.000
```

## Properties
The density of states at the Fermi level is 8.62 states/eV/f.u. The calculation puts the energy above the lowest structure with this stoichiometry at 0.437 eV/atom. As for the symmetry: Pm-3m, No. 221. The value obtained for the formation energy from raw total energies is 26.3 kJ per mole of atoms.

=====

# 4
A plane-wave DFT calculation with PBE was carried out for a relaxed Ac12Si2Pb5 crystal.

```
Ac12Si2Pb5
1.0
8.610 0.000 0.000
-4.305 9.355 0.227
0.000 -3.042 10.220
Ac Pb Si
12 5 2
direct
0.028 0.055 0.823
0.494 0.988 0.778
0.429 0.337 0.095
0.598 0.717 0.439
0.506 0.012 0.222
0.119 0.717 0.439
0.908 0.337 0.095
0.092 0.663 0.905
0.402 0.283 0.561
0.571 0.663 0.905
0.881 0.283 0.561
0.972 0.945 0.177
0.291 0.582 0.637
0.000 0.000 0.500
0.709 0.418 0.363
0.683 0.365 0.831
0.317 0.635 0.169
0.261 0.000 0.000
0.739 0.000 0.000
```

## Properties
The density of states at the Fermi level is 22.35 states/eV/f.u. As for the symmetry: C2/m, No. 12. The value obtained for the formation energy from raw total energies is -28.2 kJ per mole of atoms.

=====

# 5
A plane-wave DFT calculation with PBE was carried out for a relaxed ErPaTcC3 crystal.

```
ErPaTcC3
1.0
3.588 0.000 0.000
0.000 7.019 1.578
0.000 -1.843 7.430
Pa C Er Tc
2 6 2 2
direct
0.750 0.380 0.826
0.250 0.620 0.174
0.250 0.601 0.873
0.750 0.399 0.127
0.750 0.870 0.154
0.750 0.172 0.502
0.250 0.130 0.846
0.250 0.828 0.498
0.250 0.145 0.159
0.750 0.855 0.841
0.250 0.101 0.590
0.750 0.899 0.410
```

## Properties
The energy relative to the elements is -6.74 kJ per mole of atoms. The density of states at the Fermi level is 2.98 states/eV/f.u. As for the symmetry: P2_1/m, No. 11.

=====

# 6
A plane-wave DFT calculation with PBE was carried out for a relaxed LiAl2Tl2 crystal.

```
LiAl2Tl2
1.0
-2.555 -6.181 -4.398
-3.199 -3.329 6.539
-3.198 1.787 -0.654
Tl Al Li
4 4 2
direct
0.323 0.823 0.000
0.677 0.177 0.000
0.823 0.677 0.000
0.177 0.323 0.000
0.877 0.377 0.500
0.623 0.877 0.500
0.123 0.623 0.500
0.377 0.123 0.500
0.500 0.500 0.000
0.000 0.000 0.000
```

## Properties
The energy relative to the elements is 18.58 kJ per mole of atoms. The density of states at the Fermi level is 1.79 states/eV/f.u. The calculation puts the energy above the lowest structure with this stoichiometry at 0.085 eV/atom. As for the symmetry: P4/mbm, No. 127.

=====

# 7
A plane-wave DFT calculation with PBE was carried out for a relaxed MgZnTe2 crystal.

```
MgZnTe2
1.0
2.180 10.171 -4.684
-2.302 -8.313 7.466
5.557 -0.825 0.795
Zn Te Mg
2 4 2
direct
0.687 0.313 0.750
0.313 0.687 0.250
0.189 0.811 0.250
0.069 0.931 0.750
0.811 0.189 0.750
0.931 0.069 0.250
0.060 0.940 0.250
0.940 0.060 0.750
```

## Properties
The density of states at the Fermi level is 1.39 states/eV/f.u. As for the symmetry: Cmcm, No. 63. The value obtained for the formation energy from raw total energies is -8.0 kJ per mole of atoms.

=====

# 8
A plane-wave DFT calculation with PBE was carried out for a relaxed MgRuRh2 crystal.

```
MgRuRh2
1.0
-2.949 0.837 -3.599
-1.313 -1.229 -4.372
-3.419 -3.128 1.127
Rh Ru Mg
2 1 1
direct
0.495 0.495 0.508
0.005 0.005 0.992
0.750 0.750 0.750
0.250 0.250 0.250
```

## Properties
The energy relative to the elements is -7.17 kJ per mole of atoms. The density of states at the Fermi level is 4.52 states/eV/f.u. As for the symmetry: C2/m, No. 12.

=====

# 9
A plane-wave DFT calculation with PBE was carried out for a relaxed KLa2Mn crystal.

```
KLa2Mn
1.0
-2.564 2.775 -0.479
0.193 -0.547 -4.209
-6.803 -6.560 -1.588
La K Mn
2 1 1
direct
0.500 0.258 0.360
0.000 0.891 0.091
0.500 0.577 0.723
0.000 0.775 0.326
```

## Properties
The energy relative to the elements is 40.35 kJ per mole of atoms. The density of states at the Fermi level is 4.13 states/eV/f.u. The calculation puts the energy above the lowest structure with this stoichiometry at 0.151 eV/atom. As for the symmetry: Pm, No. 6.

=====

# 10
A plane-wave DFT calculation with PBE was carried out for a relaxed ZrTcBr crystal.

```
ZrTcBr
1.0
-6.665 2.609 -1.880
-5.559 0.933 -4.360
-2.169 -1.593 1.714
Tc Br Zr
1 1 1
direct
0.310 0.310 0.690
0.015 0.015 0.985
0.674 0.674 0.326
```

## Properties
The density of states at the Fermi level is 2.45 states/eV/f.u. The calculation puts the energy above the lowest structure with this stoichiometry at 0.159 eV/atom. As for the symmetry: Fmm2, No. 42. The value obtained for the formation energy from raw total energies is 8.8 kJ per mole of atoms.

=====

# 11
A plane-wave DFT calculation with PBE was carried out for a relaxed AcBiPbI crystal.

```
AcBiPbI
1.0
5.854 0.000 0.000
2.927 5.070 0.000
2.927 1.690 4.780
I Pb Bi Ac
1 1 1 1
direct
0.000 0.000 0.000
0.250 0.250 0.250
0.500 0.500 0.500
0.750 0.750 0.750
```

## Properties
The density of states at the Fermi level is 3.35 states/eV/f.u. As for the symmetry: F-43m, No. 216. The value obtained for the formation energy from raw total energies is -52.3 kJ per mole of atoms.

=====

# 12
A plane-wave DFT calculation with PBE was carried out for a relaxed CaNi6 crystal.

```
CaNi6
1.0
4.866 0.000 0.000
0.000 7.760 0.000
0.000 0.000 9.794
Ni Ca
24 4
direct
0.250 0.897 0.518
0.750 0.603 0.018
0.250 0.065 0.906
0.494 0.933 0.309
0.994 0.067 0.691
0.006 0.933 0.309
0.994 0.567 0.809
0.750 0.181 0.242
0.250 0.319 0.742
0.506 0.067 0.691
0.750 0.852 0.852
0.506 0.567 0.809
0.750 0.435 0.406
0.750 0.352 0.648
0.494 0.433 0.191
0.250 0.648 0.352
0.250 0.565 0.594
0.750 0.935 0.094
0.250 0.819 0.758
0.750 0.103 0.482
0.250 0.148 0.148
0.006 0.433 0.191
0.250 0.397 0.982
0.750 0.681 0.258
0.750 0.240 0.939
0.250 0.760 0.061
0.250 0.260 0.439
0.750 0.740 0.561
```

## Properties
The energy relative to the elements is -1.34 kJ per mole of atoms. The density of states at the Fermi level is 9.84 states/eV/f.u. The calculation puts the energy above the lowest structure with this stoichiometry at 0.000 eV/atom. As for the symmetry: Pnma, No. 62.

=====

Number 1: total DFT energy (no corrections) -5.048 eV/atom. Number 2: total DFT energy (no corrections) -3.546 eV/atom. Number 3: total DFT energy (no corrections) -3.731 eV/atom. Number 4: total DFT energy (no corrections) -4.434 eV/atom. Number 5: total DFT energy (no corrections) -8.753 eV/atom. Number 6: total DFT energy (no corrections) -2.634 eV/atom. Number 7: total DFT energy (no corrections) -2.371 eV/atom. Number 8: total DFT energy (no corrections) -6.468 eV/atom. Number 9: total DFT energy (no corrections) -4.612 eV/atom. Number 10: total DFT energy (no corrections) -6.771 eV/atom. Number 11: total DFT energy (no corrections) -3.854 eV/atom. Number 12: total DFT energy (no corrections) -5.255 eV/atom.